--- a ---
Tl2OsW at its PBEsol-relaxed geometry, computed with SCAN.

a b c (Å): 4.144 4.144 5.122
angles (deg): 113.86 113.86 90.00
Last column: magnetic moment on the atom in μB.
Fractional coordinates of all 4 atoms:
Os  0.250  0.750  0.500  0.01
Tl  0.000  0.000  0.000  0.01
Tl  0.750  0.250  0.500  0.00
W  0.500  0.500  0.000  0.45



--- b ---
Tl2OsW at its PBEsol-relaxed geometry, computed with SCAN.

a b c (Å): 3.016 3.027 8.842
angles (deg): 90.00 99.80 90.00
Fractional coordinates of all 4 atoms:
Os  0.542  0.500  0.708
Tl  0.164  0.000  0.959
Tl  0.334  0.500  0.289
W  0.960  0.000  0.544



--- c ---
Tl2OsW at its PBEsol-relaxed geometry, computed with SCAN.

a b c (Å): 2.988 2.988 9.457
angles (deg): 90.00 90.00 119.52
Fractional coordinates of all 4 atoms:
Os  0.500  0.500  0.000
Tl  0.000  0.000  0.243
Tl  0.000  0.000  0.757
W  0.500  0.500  0.500



Most stable one: b, least stable one: a.



--- a ---
TlOs2W at its PBEsol-relaxed geometry, computed with SCAN.

a b c (Å): 2.815 2.815 9.467
angles (deg): 90.00 90.00 118.75
Last column: magnetic moment on the atom in μB.
Fractional coordinates of all 4 atoms:
Os  0.000  0.000  0.999  0.37
Os  0.500  0.500  0.765  0.58
Tl  0.000  0.000  0.505  0.00
W  0.500  0.500  0.231  -0.03



--- b ---
TlOs2W at its PBEsol-relaxed geometry, computed with SCAN.

a b c (Å): 2.805 2.805 9.449
angles (deg): 90.00 90.00 116.46
Fractional coordinates of all 4 atoms:
Os  0.000  0.000  0.227
Os  0.000  0.000  0.773
Tl  0.500  0.500  0.500
W  0.500  0.500  0.000



Most stable one: b, least stable one: a.



--- a ---
YTlOs2 at its PBEsol-relaxed geometry, computed with SCAN.

a b c (Å): 3.332 4.436 4.900
angles (deg): 90.00 90.00 90.00
Fractional coordinates of all 4 atoms:
Os  0.000  0.000  0.000
Os  0.500  0.000  0.500
Tl  0.500  0.500  0.000
Y  0.000  0.500  0.500



--- b ---
YTlOs2 at its PBEsol-relaxed geometry, computed with SCAN.

a b c (Å): 3.230 4.922 5.451
angles (deg): 116.84 107.23 90.00
Fractional coordinates of all 4 atoms:
Os  0.748  0.748  0.496
Os  0.252  0.252  0.504
Tl  0.000  0.500  0.000
Y  0.500  0.000  0.000



Most stable one: a, least stable one: b.



--- a ---
YTlOs2 at its PBEsol-relaxed geometry, computed with SCAN.

a b c (Å): 3.026 4.989 5.499
angles (deg): 111.52 105.97 90.00
Fractional coordinates of all 4 atoms:
Os  0.031  0.960  0.062
Os  0.727  0.295  0.454
Tl  0.477  0.437  0.953
Y  0.266  0.808  0.531



--- b ---
YTlOs2 at its PBEsol-relaxed geometry, computed with SCAN.

a b c (Å): 3.417 3.415 6.285
angles (deg): 90.00 90.00 90.00
Fractional coordinates of all 4 atoms:
Os  0.000  0.000  0.768
Os  0.000  0.000  0.232
Tl  0.500  0.500  0.000
Y  0.500  0.500  0.500



Most stable one: a, least stable one: b.



--- a ---
YTlOs2 at its PBEsol-relaxed geometry, computed with SCAN.

a b c (Å): 4.212 4.212 5.061
angles (deg): 114.59 114.59 90.00
Fractional coordinates of all 4 atoms:
Os  0.750  0.250  0.500
Os  0.250  0.750  0.500
Tl  0.500  0.500  0.000
Y  0.000  0.000  0.000



--- b ---
YTlOs2 at its PBEsol-relaxed geometry, computed with SCAN.

a b c (Å): 3.133 4.544 5.647
angles (deg): 90.00 94.34 90.00
Fractional coordinates of all 4 atoms:
Os  0.549  0.000  0.706
Os  0.451  0.000  0.294
Tl  0.500  0.500  0.000
Y  0.000  0.500  0.500



Most stable one: b, least stable one: a.



--- a ---
YOsW2 at its PBEsol-relaxed geometry, computed with SCAN.

a b c (Å): 2.852 4.566 5.297
angles (deg): 90.00 101.41 90.00
Fractional coordinates of all 4 atoms:
Os  0.000  0.500  0.500
W  0.761  0.000  0.742
W  0.239  0.000  0.258
Y  0.500  0.500  0.000



--- b ---
YOsW2 at its PBEsol-relaxed geometry, computed with SCAN.

a b c (Å): 3.844 3.844 5.450
angles (deg): 110.65 110.65 90.00
Fractional coordinates of all 4 atoms:
Os  0.000  0.000  0.000
W  0.750  0.250  0.500
W  0.250  0.750  0.500
Y  0.500  0.500  0.000



Most stable one: a, least stable one: b.



--- a ---
Zn2OsW at its PBEsol-relaxed geometry, computed with SCAN.

a b c (Å): 2.757 4.036 5.124
angles (deg): 90.00 90.00 90.00
Fractional coordinates of all 4 atoms:
Os  0.500  0.500  0.000
W  0.500  0.500  0.500
Zn  0.000  0.000  0.755
Zn  0.000  0.000  0.245



--- b ---
Zn2OsW at its PBEsol-relaxed geometry, computed with SCAN.

a b c (Å): 3.708 3.708 4.917
angles (deg): 112.16 112.16 90.00
Fractional coordinates of all 4 atoms:
Os  0.500  0.500  0.000
W  0.000  0.000  0.000
Zn  0.750  0.250  0.500
Zn  0.250  0.750  0.500



Most stable one: b, least stable one: a.



--- a ---
ZrOsW2 at its PBEsol-relaxed geometry, computed with SCAN.

a b c (Å): 3.181 3.181 6.480
angles (deg): 90.00 90.00 90.00
Fractional coordinates of all 4 atoms:
Os  0.500  0.500  0.760
W  0.000  0.000  0.005
W  0.500  0.500  0.233
Zr  0.000  0.000  0.503



--- b ---
ZrOsW2 at its PBEsol-relaxed geometry, computed with SCAN.

a b c (Å): 2.806 4.525 5.205
angles (deg): 90.00 100.99 90.00
Fractional coordinates of all 4 atoms:
Os  0.000  0.500  0.500
W  0.751  0.000  0.747
W  0.249  0.000  0.253
Zr  0.500  0.500  0.000



Most stable one: a, least stable one: b.



--- a ---
Y2ZrOs at its PBEsol-relaxed geometry, computed with SCAN.

a b c (Å): 3.458 5.103 6.059
angles (deg): 114.90 106.58 90.00
Fractional coordinates of all 4 atoms:
Y  0.041  0.041  0.081
Y  0.248  0.748  0.497
Os  0.762  0.262  0.524
Zr  0.449  0.449  0.899



--- b ---
Y2ZrOs at its PBEsol-relaxed geometry, computed with SCAN.

a b c (Å): 4.133 4.133 5.779
angles (deg): 110.95 110.95 90.00
Fractional coordinates of all 4 atoms:
Os  0.000  0.000  0.000
Y  0.750  0.250  0.500
Y  0.250  0.750  0.500
Zr  0.500  0.500  0.000



Most stable one: a, least stable one: b.



--- a ---
P at its PBEsol-relaxed geometry, computed with SCAN.

a b c (Å): 3.399 3.579 4.955
angles (deg): 90.00 90.00 90.00
Fractional coordinates of all 4 atoms:
P  0.000  0.040  0.750
P  0.000  0.960  0.250
P  0.500  0.540  0.250
P  0.500  0.460  0.750



--- b ---
P at its PBEsol-relaxed geometry, computed with SCAN.

a b c (Å): 3.316 4.196 5.394
angles (deg): 90.00 107.90 90.00
Fractional coordinates of all 4 atoms:
P  0.105  0.927  0.211
P  0.395  0.427  0.789
P  0.605  0.573  0.211
P  0.895  0.073  0.789



--- c ---
P at its PBEsol-relaxed geometry, computed with SCAN.

a b c (Å): 9.095 9.160 21.558
angles (deg): 81.87 90.00 90.00
Fractional coordinates of all 84 atoms:
P  0.612  0.472  0.570
P  0.603  0.712  0.541
P  0.196  0.122  0.181
P  0.844  0.044  0.958
P  0.363  0.514  0.970
P  0.864  0.216  0.572
P  0.223  0.186  0.886
P  0.671  0.627  0.172
P  0.613  0.023  0.828
P  0.903  0.314  0.826
P  0.371  0.753  0.938
P  0.028  0.441  0.385
P  0.056  0.371  0.680
P  0.196  0.378  0.319
P  0.561  0.901  0.670
P  0.679  0.254  0.800
P  0.864  0.284  0.928
P  0.097  0.686  0.174
P  0.363  0.986  0.530
P  0.637  0.014  0.470
P  0.972  0.559  0.615
P  0.135  0.972  0.565
P  0.028  0.059  0.115
P  0.495  0.409  0.899
P  0.944  0.871  0.180
P  0.269  0.313  0.114
P  0.944  0.629  0.320
P  0.439  0.401  0.170
P  0.388  0.528  0.430
P  0.387  0.523  0.328
P  0.603  0.788  0.959
P  0.865  0.472  0.065
P  0.439  0.099  0.330
P  0.731  0.813  0.614
P  0.972  0.941  0.885
P  0.364  0.743  0.834
P  0.636  0.257  0.166
P  0.135  0.528  0.935
P  0.865  0.028  0.435
P  0.184  0.932  0.667
P  0.388  0.972  0.070
P  0.844  0.456  0.542
P  0.321  0.746  0.200
P  0.816  0.432  0.167
P  0.156  0.544  0.458
P  0.636  0.243  0.334
P  0.371  0.747  0.562
P  0.397  0.212  0.041
P  0.671  0.873  0.328
P  0.397  0.288  0.459
P  0.223  0.314  0.614
P  0.777  0.814  0.114
P  0.804  0.622  0.681
P  0.329  0.373  0.828
P  0.637  0.486  0.030
P  0.679  0.246  0.700
P  0.495  0.091  0.601
P  0.777  0.686  0.386
P  0.364  0.757  0.666
P  0.269  0.187  0.386
P  0.097  0.814  0.326
P  0.731  0.687  0.886
P  0.561  0.599  0.830
P  0.905  0.709  0.042
P  0.629  0.253  0.438
P  0.321  0.754  0.300
P  0.329  0.127  0.672
P  0.613  0.477  0.672
P  0.095  0.209  0.542
P  0.629  0.247  0.062
P  0.903  0.186  0.674
P  0.184  0.568  0.833
P  0.136  0.784  0.428
P  0.505  0.909  0.399
P  0.505  0.591  0.101
P  0.095  0.291  0.958
P  0.136  0.716  0.072
P  0.816  0.068  0.333
P  0.156  0.956  0.042
P  0.905  0.791  0.458
P  0.387  0.977  0.172
P  0.056  0.129  0.820
P  0.804  0.878  0.819
P  0.612  0.028  0.930



--- d ---
P at its PBEsol-relaxed geometry, computed with SCAN.

a b c (Å): 2.449 2.449 5.377
angles (deg): 103.16 103.16 90.00
Fractional coordinates of all 2 atoms:
P  0.889  0.889  0.778
P  0.111  0.111  0.222



Most stable one: c, least stable one: d.